Here is an optimized crystal structure of Li2AgWF8 from the Alexandria database. Energies are from PBE+U.

a b c (Å): 4.740 7.662 4.742
angles (deg): 90.00 98.48 90.00
Space group P2/m (No. 10)
Symmetry-distinct sites (fractional):
Li: 0.000 0.172 0.000
Ag: 0.500 0.000 0.500
W: 0.500 0.500 0.500
F: 0.188 0.000 0.811
F: 0.237 0.500 0.762
F: 0.280 0.315 0.278

Calculated values
Calculated total energy   -58.458 eV per cell